Density functional theory data (PBE with a Hubbard U) for crystalline Co2PtO at its relaxed geometry.

Its density of states at the Fermi level is 0.4843 states/eV per atom. The raw total energy is -5.3789 eV/atom. Its calculated density is 9.80 g/cm³.

The structure belongs to space group I-42d (No. 122); the cell edges are 5.9183, 5.9183 and 6.3655 Å and the angles 90.00°, 90.00° and 90.00°. The inequivalent atoms are Co at (0.1642, 0.2500, 0.1250), Pt at (0.0000, 0.0000, 0.5000) and O at (0.0000, 0.0000, 0.0000).